[1]
A plane-wave DFT calculation with PBE-GGA was carried out for a relaxed AlTlW2 crystal.

Geometry as POSCAR:
```
AlTlW2
1.0
-0.508 2.617 -1.016
-2.119 -1.744 -0.777
-4.529 2.093 7.657
W Tl Al
2 1 1
Cartesian
-2.180 1.007 3.686
-0.085 0.039 0.143
-4.711 2.006 4.846
-2.446 0.959 1.018
```

Computed properties:
N(E_F): 0.67 states/eV per atom
mass density: 14.18 Mg/m³
ΔE_f: 635 meV per atom
final energy: -7.37 eV per atom

---

[2]
A plane-wave DFT calculation with PBE-GGA was carried out for a relaxed AlTl2W crystal.

Geometry as POSCAR:
```
AlTl2W
1.0
3.030 0.000 0.000
0.000 4.726 0.000
0.000 0.000 5.770
W Tl Al
1 2 1
Cartesian
1.515 2.363 1.443
0.000 0.000 2.870
0.000 0.000 0.015
1.515 2.363 4.328
```

Computed properties:
N(E_F): 0.48 states/eV per atom
mass density: 12.45 Mg/m³
ΔE_f: 870 meV per atom
final energy: -4.49 eV per atom

---

Q: The highest mass density belongs to which entry?
A: AlTlW2

---

Q: Which formula does entry 1 have?
A: AlTlW2